[1]
Crystalline Ho3Ta3W2N12 at its relaxed geometry, computed with PBE.

Properties
The calculation puts the calculated total energy at -9.751 eV/atom.

Lattice parameters (Å, degrees): 11.0561 11.0561 11.0561 109.47 109.47 109.47
Last column: nearest neighbours and their distance in Å.
Atoms (fractional coordinates):
Ho 0.1250 0.2500 0.3750  8 N 2.47-2.54
Ho 0.1250 0.3750 0.7500  8 N 2.47-2.54
Ho 0.2500 0.3750 0.1250  8 N 2.47-2.54
Ho 0.2500 0.8750 0.6250  8 N 2.47-2.54
Ho 0.3750 0.1250 0.2500  8 N 2.47-2.54
Ho 0.3750 0.7500 0.1250  8 N 2.47-2.54
Ho 0.6250 0.2500 0.8750  8 N 2.47-2.54
Ho 0.6250 0.8750 0.7500  8 N 2.47-2.54
Ho 0.7500 0.1250 0.3750  8 N 2.47-2.54
Ho 0.7500 0.6250 0.8750  8 N 2.47-2.54
Ho 0.8750 0.6250 0.2500  8 N 2.47-2.54
Ho 0.8750 0.7500 0.6250  8 N 2.47-2.54
Ta 0.1250 0.7500 0.8750  4 N 1.93
Ta 0.1250 0.8750 0.2500  4 N 1.93
Ta 0.2500 0.1250 0.8750  4 N 1.93
Ta 0.2500 0.6250 0.3750  4 N 1.93
Ta 0.3750 0.2500 0.6250  4 N 1.93
Ta 0.3750 0.6250 0.7500  4 N 1.93
Ta 0.6250 0.3750 0.2500  4 N 1.93
Ta 0.6250 0.7500 0.3750  4 N 1.93
Ta 0.7500 0.3750 0.6250  4 N 1.93
Ta 0.7500 0.8750 0.1250  4 N 1.93
Ta 0.8750 0.1250 0.7500  4 N 1.93
Ta 0.8750 0.2500 0.1250  4 N 1.93
W 0.0000 0.0000 0.0000  6 N 2.03
W 0.0000 0.0000 0.5000  6 N 2.03
W 0.0000 0.5000 0.0000  6 N 2.03
W 0.0000 0.5000 0.5000  6 N 2.03
W 0.5000 0.0000 0.0000  6 N 2.03
W 0.5000 0.0000 0.5000  6 N 2.03
W 0.5000 0.5000 0.0000  6 N 2.03
W 0.5000 0.5000 0.5000  6 N 2.03
N 0.0252 0.2009 0.1176  1 Ta 1.93, 1 W 2.03
N 0.0252 0.3243 0.9076  1 Ta 1.93, 1 W 2.03
N 0.0833 0.7009 0.6757  1 Ta 1.93, 1 W 2.03
N 0.0833 0.8824 0.4076  1 Ta 1.93, 1 W 2.03
N 0.0924 0.6176 0.4167  1 Ta 1.93, 1 W 2.03
N 0.0924 0.9748 0.6757  1 Ta 1.93, 1 W 2.03
N 0.1176 0.0252 0.2009  1 Ta 1.93, 1 W 2.03
N 0.1176 0.5924 0.9167  1 Ta 1.93, 1 W 2.03
N 0.1757 0.2009 0.5833  1 Ta 1.93, 1 W 2.03
N 0.1757 0.4748 0.5924  1 Ta 1.93, 1 W 2.03
N 0.2009 0.1176 0.0252  1 Ta 1.93, 1 W 2.03
N 0.2009 0.5833 0.1757  1 Ta 1.93, 1 W 2.03
N 0.2991 0.3243 0.9167  1 Ta 1.93, 1 W 2.03
N 0.2991 0.4748 0.3824  1 Ta 1.93, 1 W 2.03
N 0.3243 0.9076 0.0252  1 Ta 1.93, 1 W 2.03
N 0.3243 0.9167 0.2991  1 Ta 1.93, 1 W 2.03
N 0.3824 0.2991 0.4748  1 Ta 1.93, 1 W 2.03
N 0.3824 0.5833 0.9076  1 Ta 1.93, 1 W 2.03
N 0.4076 0.0833 0.8824  1 Ta 1.93, 1 W 2.03
N 0.4076 0.8243 0.5252  1 Ta 1.93, 1 W 2.03
N 0.4167 0.0924 0.6176  1 Ta 1.93, 1 W 2.03
N 0.4167 0.8243 0.7991  1 Ta 1.93, 1 W 2.03
N 0.4748 0.3824 0.2991  1 Ta 1.93, 1 W 2.03
N 0.4748 0.5924 0.1757  1 Ta 1.93, 1 W 2.03
N 0.5252 0.4076 0.8243  1 Ta 1.93, 1 W 2.03
N 0.5252 0.6176 0.7009  1 Ta 1.93, 1 W 2.03
N 0.5833 0.1757 0.2009  1 Ta 1.93, 1 W 2.03
N 0.5833 0.9076 0.3824  1 Ta 1.93, 1 W 2.03
N 0.5924 0.1757 0.4748  1 Ta 1.93, 1 W 2.03
N 0.5924 0.9167 0.1176  1 Ta 1.93, 1 W 2.03
N 0.6176 0.4167 0.0924  1 Ta 1.93, 1 W 2.03
N 0.6176 0.7009 0.5252  1 Ta 1.93, 1 W 2.03
N 0.6757 0.0833 0.7009  1 Ta 1.93, 1 W 2.03
N 0.6757 0.0924 0.9748  1 Ta 1.93, 1 W 2.03
N 0.7009 0.5252 0.6176  1 Ta 1.93, 1 W 2.03
N 0.7009 0.6757 0.0833  1 Ta 1.93, 1 W 2.03
N 0.7991 0.4167 0.8243  1 Ta 1.93, 1 W 2.03
N 0.7991 0.8824 0.9748  1 Ta 1.93, 1 W 2.03
N 0.8243 0.5252 0.4076  1 Ta 1.93, 1 W 2.03
N 0.8243 0.7991 0.4167  1 Ta 1.93, 1 W 2.03
N 0.8824 0.4076 0.0833  1 Ta 1.93, 1 W 2.03
N 0.8824 0.9748 0.7991  1 Ta 1.93, 1 W 2.03
N 0.9076 0.0252 0.3243  1 Ta 1.93, 1 W 2.03
N 0.9076 0.3824 0.5833  1 Ta 1.93, 1 W 2.03
N 0.9167 0.1176 0.5924  1 Ta 1.93, 1 W 2.03
N 0.9167 0.2991 0.3243  1 Ta 1.93, 1 W 2.03
N 0.9748 0.6757 0.0924  1 Ta 1.93, 1 W 2.03
N 0.9748 0.7991 0.8824  1 Ta 1.93, 1 W 2.03

[2]
Crystalline Tb2HoN3 at its relaxed geometry, computed with PBE.

Properties
The calculation puts the calculated total energy at -8.158 eV/atom.

Lattice parameters (Å, degrees): 3.4673 3.4673 8.4876 90.00 90.00 120.00
Last column: nearest neighbours and their distance in Å.
Atoms (fractional coordinates):
Tb 0.3333 0.6667 0.3321  6 N 2.46
Tb 0.6667 0.3333 0.6679  6 N 2.46
Ho 0.0000 0.0000 0.0000  6 N 2.44
N 0.0000 0.0000 0.5000  6 Tb 2.46
N 0.3333 0.6667 0.8359  3 Ho 2.44, 3 Tb 2.46
N 0.6667 0.3333 0.1641  3 Ho 2.44, 3 Tb 2.46

[3]
Crystalline Ho4Te3N2 at its relaxed geometry, computed with PBE.

Properties
The calculation puts the calculated total energy at -6.456 eV/atom.

Lattice parameters (Å, degrees): 7.2604 7.2604 10.6239 127.42 127.42 32.42
Last column: nearest neighbours and their distance in Å.
Atoms (fractional coordinates):
Ho 0.1280 0.1280 0.3718  3 N 2.20-2.36
Ho 0.2880 0.2880 0.8364  1 N 2.15
Ho 0.7120 0.7120 0.1636  1 N 2.15
Ho 0.8720 0.8720 0.6282  3 N 2.20-2.36
Te 0.0000 0.0000 0.0000  6 Ho 3.06-3.14
Te 0.4005 0.4005 0.2382  4 Ho 3.00-3.24
Te 0.5995 0.5995 0.7618  4 Ho 3.00-3.24
N 0.2875 0.2875 0.6338  4 Ho 2.15-2.36
N 0.7125 0.7125 0.3662  4 Ho 2.15-2.36

[4]
Crystalline Ho3Te3N at its relaxed geometry, computed with PBE.

Properties
The calculation puts the calculated total energy at -6.002 eV/atom.

Lattice parameters (Å, degrees): 8.0661 11.9331 8.6234 90.00 109.13 90.00
Last column: nearest neighbours and their distance in Å.
Atoms (fractional coordinates):
Ho 0.1017 0.0217 0.3621  2 N 2.24-2.27
Ho 0.1017 0.4783 0.8621  2 N 2.24-2.27
Ho 0.2671 0.7093 0.1545  1 N 2.20
Ho 0.2671 0.7907 0.6545  1 N 2.20
Ho 0.3407 0.0872 0.7952  1 N 2.20
Ho 0.3407 0.4128 0.2952  1 N 2.20
Ho 0.6593 0.5872 0.7048  1 N 2.20
Ho 0.6593 0.9128 0.2048  1 N 2.20
Ho 0.7329 0.2093 0.3455  1 N 2.20
Ho 0.7329 0.2907 0.8455  1 N 2.20
Ho 0.8983 0.5217 0.1379  2 N 2.24-2.27
Ho 0.8983 0.9783 0.6379  2 N 2.24-2.27
Te 0.0091 0.2345 0.6877  5 Ho 3.04-3.25
Te 0.0091 0.2655 0.1877  5 Ho 3.04-3.25
Te 0.2741 0.5199 0.5851  4 Ho 3.01-3.29
Te 0.2741 0.9801 0.0851  4 Ho 3.01-3.29
Te 0.4530 0.1917 0.5167  5 Ho 3.08-3.38
Te 0.4530 0.3083 0.0167  5 Ho 3.08-3.38
Te 0.5470 0.6917 0.9833  5 Ho 3.08-3.38
Te 0.5470 0.8083 0.4833  5 Ho 3.08-3.38
Te 0.7259 0.0199 0.9149  4 Ho 3.01-3.29
Te 0.7259 0.4801 0.4149  4 Ho 3.01-3.29
Te 0.9909 0.7345 0.8123  5 Ho 3.04-3.25
Te 0.9909 0.7655 0.3123  5 Ho 3.04-3.25
N 0.1735 0.5350 0.1238  4 Ho 2.20-2.27
N 0.1735 0.9650 0.6238  4 Ho 2.20-2.27
N 0.8265 0.0350 0.3762  4 Ho 2.20-2.27
N 0.8265 0.4650 0.8762  4 Ho 2.20-2.27

[5]
Crystalline HoTeN3 at its relaxed geometry, computed with PBE.

Properties
The calculation puts the calculated total energy at -6.560 eV/atom.

Lattice parameters (Å, degrees): 5.8120 3.7644 7.9039 90.00 109.92 90.00
Last column: nearest neighbours and their distance in Å.
Atoms (fractional coordinates):
Ho 0.0453 0.2500 0.3199  5 N 2.23-2.42
Ho 0.9547 0.7500 0.6801  5 N 2.23-2.42
Te 0.4859 0.2500 0.8204  4 N 1.90-2.10
Te 0.5141 0.7500 0.1796  4 N 1.90-2.10
N 0.1781 0.2500 0.6206  1 Te 1.94
N 0.2226 0.7500 0.2366  1 Te 1.90
N 0.3900 0.7500 0.8933  3 Te 2.10-2.13
N 0.6100 0.2500 0.1067  3 Te 2.10-2.13
N 0.7774 0.2500 0.7634  1 Te 1.90
N 0.8219 0.7500 0.3794  1 Te 1.94

[6]
Crystalline HoTeN3 at its relaxed geometry, computed with PBE.

Properties
The calculation puts the calculated total energy at -6.506 eV/atom.

Lattice parameters (Å, degrees): 5.6130 5.6130 5.6130 120.54 89.67 119.85
Last column: nearest neighbours and their distance in Å.
Atoms (fractional coordinates):
Ho 0.2739 0.0239 0.2500  5 N 2.34-2.39
Ho 0.7261 0.9761 0.7500  5 N 2.34-2.39
Te 0.0000 0.5000 0.5000  6 N 2.05-2.08
Te 0.5000 0.5000 0.0000  6 N 2.05-2.08
N 0.1419 0.3919 0.7500  2 Te 2.08
N 0.3164 0.0000 0.8164  2 Te 2.05
N 0.3164 0.5000 0.3164  2 Te 2.05
N 0.6836 0.0000 0.1836  2 Te 2.05
N 0.6836 0.5000 0.6836  2 Te 2.05
N 0.8581 0.6081 0.2500  2 Te 2.08

[7]
Crystalline HoTm3Tl2N2 at its relaxed geometry, computed with PBE.

Properties
The calculation puts the calculated total energy at -5.953 eV/atom.

Lattice parameters (Å, degrees): 3.4834 3.4834 15.5322 90.00 90.00 120.00
Last column: nearest neighbours and their distance in Å.
Atoms (fractional coordinates):
Ho 0.0000 0.0000 0.0000  3 N 2.42
Tm 0.0000 0.0000 0.6675  3 N 2.39
Tm 0.6667 0.3333 0.1684  3 N 2.38
Tm 0.6667 0.3333 0.5004  3 N 2.39
Tl 0.0000 0.0000 0.3346  6 Tm 3.27, 6 Tl 3.48
Tl 0.6667 0.3333 0.8330  3 Tm 3.26, 3 Ho 3.28, 6 Tl 3.48
N 0.3333 0.6667 0.0865  3 Tm 2.38, 3 Ho 2.42
N 0.3333 0.6667 0.5839  6 Tm 2.39

[8]
Crystalline Ho3TmTl2N2 at its relaxed geometry, computed with PBE.

Properties
The calculation puts the calculated total energy at -5.966 eV/atom.

Lattice parameters (Å, degrees): 3.5030 3.5030 15.6322 90.00 90.00 120.00
Last column: nearest neighbours and their distance in Å.
Atoms (fractional coordinates):
Ho 0.0000 0.0000 0.0000  3 N 2.41
Ho 0.0000 0.0000 0.3324  3 N 2.43
Ho 0.6667 0.3333 0.8314  3 N 2.41
Tm 0.6667 0.3333 0.4996  3 N 2.39
Tl 0.0000 0.0000 0.6648  3 Tm 3.28, 3 Ho 3.30, 6 Tl 3.50
Tl 0.6667 0.3333 0.1664  6 Ho 3.29-3.30, 6 Tl 3.50
N 0.3333 0.6667 0.4182  3 Tm 2.39, 3 Ho 2.43
N 0.3333 0.6667 0.9157  6 Ho 2.41

[9]
Crystalline Ho2TmN3 at its relaxed geometry, computed with PBE.

Properties
The calculation puts the calculated total energy at -8.206 eV/atom.

Lattice parameters (Å, degrees): 3.4240 3.4240 8.3817 90.00 90.00 120.00
Last column: nearest neighbours and their distance in Å.
Atoms (fractional coordinates):
Ho 0.3333 0.6667 0.3322  6 N 2.43
Ho 0.6667 0.3333 0.6678  6 N 2.43
Tm 0.0000 0.0000 0.0000  6 N 2.41
N 0.0000 0.0000 0.5000  6 Ho 2.43
N 0.3333 0.6667 0.8360  3 Tm 2.41, 3 Ho 2.43
N 0.6667 0.3333 0.1640  3 Tm 2.41, 3 Ho 2.43

[10]
Crystalline HoUN3 at its relaxed geometry, computed with PBE.

Properties
The calculation puts the calculated total energy at -9.588 eV/atom.

Lattice parameters (Å, degrees): 5.8381 5.8381 5.8381 120.35 89.41 120.34
Last column: nearest neighbours and their distance in Å.
Atoms (fractional coordinates):
Ho 0.2806 0.0306 0.2500  5 N 2.32-2.41
Ho 0.7194 0.9694 0.7500  5 N 2.32-2.41
U 0.0000 0.5000 0.5000  6 N 2.15-2.21
U 0.5000 0.5000 0.0000  6 N 2.15-2.21
N 0.1186 0.3686 0.7500  2 U 2.21, 1 Ho 2.32
N 0.3256 0.0000 0.8256  2 U 2.15
N 0.3256 0.5000 0.3256  2 U 2.15
N 0.6744 0.0000 0.1744  2 U 2.15
N 0.6744 0.5000 0.6744  2 U 2.15
N 0.8814 0.6314 0.2500  2 U 2.21, 1 Ho 2.32

[11]
Crystalline NaHo at its relaxed geometry, computed with PBE.

Properties
The value obtained for the energy above the most stable polymorph in this dataset is 52.2 kJ per mole of atoms.

Lattice parameters (Å, degrees): 4.5031 4.5031 4.5031 60.00 60.00 60.00
Last column: nearest neighbours and their distance in Å.
Atoms (fractional coordinates):
Na 0.0000 0.0000 0.0000  6 Ho 3.18
Ho 0.5000 0.5000 0.5000  6 Na 3.18

[12]
Crystalline Na2Ho at its relaxed geometry, computed with PBE.

Properties
The value obtained for the energy above the most stable polymorph in this dataset is 52.7 kJ per mole of atoms.

Lattice parameters (Å, degrees): 5.4396 5.4396 5.4396 60.00 60.00 60.00
Last column: nearest neighbours and their distance in Å.
Atoms (fractional coordinates):
Na 0.2500 0.2500 0.2500  4 Ho 3.33
Na 0.7500 0.7500 0.7500  4 Ho 3.33
Ho 0.0000 0.0000 0.0000  8 Na 3.33